[1]
Be2AlW after structural relaxation. Source: the Alexandria database, functional PBE.

Unit cell a=3.705 b=3.705 c=3.435 alpha=90.00 beta=90.00 gamma=90.00
Sites, in units of the cell vectors:
Be (0.000, 0.500, 0.000)
Be (0.500, 0.000, 0.000)
Al (0.000, 0.000, 0.500)
W (0.500, 0.500, 0.500)

Values from the calculation:
Raw total energy, eV per cell: -24.23
Spin magnetization, μB/f.u.: 0.00

***

[2]
LaSc2Cd4 after structural relaxation. Source: the Alexandria database, functional PBE.

Unit cell a=5.754 b=5.754 c=15.289 alpha=90.00 beta=90.00 gamma=90.00
Sites, in units of the cell vectors:
La (0.000, 0.000, 0.000)
La (0.500, 0.500, 0.500)
Sc (0.000, 0.000, 0.410)
Sc (0.000, 0.000, 0.590)
Sc (0.500, 0.500, 0.090)
Sc (0.500, 0.500, 0.910)
Cd (0.000, 0.000, 0.211)
Cd (0.000, 0.000, 0.789)
Cd (0.000, 0.500, 0.000)
Cd (0.000, 0.500, 0.500)
Cd (0.500, 0.000, 0.000)
Cd (0.500, 0.000, 0.500)
Cd (0.500, 0.500, 0.289)
Cd (0.500, 0.500, 0.711)

Values from the calculation:
Raw total energy, eV per cell: -35.98
Spin magnetization, μB/f.u.: 0.03

***

[3]
PrNd5DyEr2 after structural relaxation. Source: the Alexandria database, functional PBE.

Unit cell a=10.597 b=10.597 c=10.795 alpha=90.00 beta=90.00 gamma=148.95
Sites, in units of the cell vectors:
Pr (0.202, 0.798, 0.500)
Pr (0.798, 0.202, 0.000)
Nd (0.016, 0.984, 0.514)
Nd (0.282, 0.718, 0.799)
Nd (0.296, 0.704, 0.194)
Nd (0.392, 0.608, 0.517)
Nd (0.479, 0.521, 0.234)
Nd (0.521, 0.479, 0.734)
Nd (0.608, 0.392, 0.017)
Nd (0.704, 0.296, 0.694)
Nd (0.718, 0.282, 0.299)
Nd (0.984, 0.016, 0.014)
Dy (0.411, 0.589, 0.948)
Dy (0.589, 0.411, 0.448)
Er (0.110, 0.890, 0.230)
Er (0.117, 0.883, 0.809)
Er (0.883, 0.117, 0.309)
Er (0.890, 0.110, 0.730)

Values from the calculation:
Raw total energy, eV per cell: -82.07
Spin magnetization, μB/f.u.: 0.00

***

[4]
CrSn after structural relaxation. Source: the Alexandria database, functional PBE.

Unit cell a=9.318 b=3.149 c=5.997 alpha=90.00 beta=125.64 gamma=90.00
Sites, in units of the cell vectors:
Cr (0.206, 0.000, 0.086)
Cr (0.294, 0.500, 0.914)
Cr (0.706, 0.500, 0.086)
Cr (0.794, 0.000, 0.914)
Sn (0.067, 0.500, 0.325)
Sn (0.433, 0.000, 0.675)
Sn (0.567, 0.000, 0.325)
Sn (0.933, 0.500, 0.675)

Values from the calculation:
Raw total energy, eV per cell: -51.65
Spin magnetization, μB/f.u.: 0.00

***

[5]
Nd6Ge3Se2Cl after structural relaxation. Source: the Alexandria database, functional PBE.

Unit cell a=9.570 b=9.570 c=8.567 alpha=102.87 beta=102.87 gamma=25.87
Sites, in units of the cell vectors:
Nd (0.003, 0.003, 0.236)
Nd (0.328, 0.328, 0.422)
Nd (0.335, 0.335, 0.911)
Nd (0.665, 0.665, 0.089)
Nd (0.672, 0.672, 0.578)
Nd (0.997, 0.997, 0.764)
Ge (0.165, 0.165, 0.334)
Ge (0.500, 0.500, 0.000)
Ge (0.835, 0.835, 0.666)
Se (0.166, 0.166, 0.831)
Se (0.834, 0.834, 0.169)
Cl (0.500, 0.500, 0.500)

Values from the calculation:
Raw total energy, eV per cell: -67.68
Uncorrected formation energy, eV/atom: -1.3668
Spin magnetization, μB/f.u.: 0.00

***

[6]
CoP2W after structural relaxation. Source: the Alexandria database, functional PBE.

Unit cell a=2.915 b=2.915 c=21.351 alpha=90.00 beta=90.00 gamma=120.00
Sites, in units of the cell vectors:
Co (0.000, 0.000, 0.000)
Co (0.333, 0.667, 0.667)
Co (0.667, 0.333, 0.333)
P (0.000, 0.000, 0.256)
P (0.000, 0.000, 0.744)
P (0.333, 0.667, 0.411)
P (0.333, 0.667, 0.922)
P (0.667, 0.333, 0.078)
P (0.667, 0.333, 0.589)
W (0.000, 0.000, 0.500)
W (0.333, 0.667, 0.167)
W (0.667, 0.333, 0.833)

Values from the calculation:
Raw total energy, eV per cell: -92.86
Spin magnetization, μB/f.u.: 0.00

***

[7]
ZnRe2Br after structural relaxation. Source: the Alexandria database, functional PBE.

Unit cell a=3.018 b=3.018 c=8.176 alpha=90.00 beta=90.00 gamma=90.00
Sites, in units of the cell vectors:
Zn (0.000, 0.000, 0.000)
Re (0.000, 0.000, 0.610)
Re (0.500, 0.500, 0.794)
Br (0.500, 0.500, 0.368)

Values from the calculation:
E above lowest polymorph, meV per atom: 111
Raw total energy, eV per cell: -26.32
Uncorrected formation energy, eV/atom: 0.3798
Spin magnetization, μB/f.u.: 0.00

***

[8]
SmTm2Ag2 after structural relaxation. Source: the Alexandria database, functional PBE.

Unit cell a=3.609 b=5.280 c=13.484 alpha=90.00 beta=97.66 gamma=90.00
Sites, in units of the cell vectors:
Sm (0.146, 0.250, 0.291)
Sm (0.854, 0.750, 0.709)
Tm (0.047, 0.750, 0.095)
Tm (0.235, 0.750, 0.469)
Tm (0.765, 0.250, 0.531)
Tm (0.953, 0.250, 0.905)
Ag (0.357, 0.250, 0.715)
Ag (0.456, 0.750, 0.911)
Ag (0.544, 0.250, 0.089)
Ag (0.643, 0.750, 0.285)

Values from the calculation:
E above lowest polymorph, meV per atom: 0
Raw total energy, eV per cell: -41.08
Spin magnetization, μB/f.u.: 0.00

***

[9]
La12SmCd6 after structural relaxation. Source: the Alexandria database, functional PBE.

Unit cell a=8.462 b=8.462 c=8.462 alpha=88.80 beta=88.80 gamma=88.80
Sites, in units of the cell vectors:
La (0.036, 0.314, 0.933)
La (0.067, 0.964, 0.686)
La (0.109, 0.343, 0.451)
La (0.314, 0.933, 0.036)
La (0.343, 0.451, 0.109)
La (0.451, 0.109, 0.343)
La (0.549, 0.891, 0.657)
La (0.657, 0.549, 0.891)
La (0.686, 0.067, 0.964)
La (0.891, 0.657, 0.549)
La (0.933, 0.036, 0.314)
La (0.964, 0.686, 0.067)
Sm (0.500, 0.500, 0.500)
Cd (0.239, 0.753, 0.385)
Cd (0.247, 0.615, 0.761)
Cd (0.385, 0.239, 0.753)
Cd (0.615, 0.761, 0.247)
Cd (0.753, 0.385, 0.239)
Cd (0.761, 0.247, 0.615)

Values from the calculation:
Raw total energy, eV per cell: -71.91
Spin magnetization, μB/f.u.: 0.00

***

[10]
HfInAg after structural relaxation. Source: the Alexandria database, functional PBE.

Unit cell a=4.759 b=6.105 c=8.466 alpha=90.00 beta=90.00 gamma=90.00
Sites, in units of the cell vectors:
Hf (0.000, 0.248, 0.000)
Hf (0.000, 0.752, 0.000)
Hf (0.500, 0.252, 0.500)
Hf (0.500, 0.748, 0.500)
In (0.000, 0.000, 0.328)
In (0.000, 0.000, 0.672)
In (0.500, 0.500, 0.172)
In (0.500, 0.500, 0.828)
Ag (0.000, 0.500, 0.338)
Ag (0.000, 0.500, 0.662)
Ag (0.500, 0.000, 0.162)
Ag (0.500, 0.000, 0.838)

Values from the calculation:
Raw total energy, eV per cell: -62.67
Spin magnetization, μB/f.u.: 0.00

***

[11]
MgPBr2 after structural relaxation. Source: the Alexandria database, functional PBE.

Unit cell a=4.801 b=4.801 c=3.847 alpha=90.00 beta=90.00 gamma=90.00
Sites, in units of the cell vectors:
Mg (0.000, 0.000, 0.000)
P (0.500, 0.500, 0.000)
Br (0.000, 0.500, 0.500)
Br (0.500, 0.000, 0.500)

Values from the calculation:
E above lowest polymorph, meV per atom: 731
Raw total energy, eV per cell: -9.57
Uncorrected formation energy, eV/atom: 0.1940
Spin magnetization, μB/f.u.: 0.00

***

[12]
YBe2Cu after structural relaxation. Source: the Alexandria database, functional PBE.

Unit cell a=3.217 b=3.626 c=5.455 alpha=90.00 beta=107.08 gamma=90.00
Sites, in units of the cell vectors:
Y (0.000, 0.000, 0.000)
Be (0.636, 0.500, 0.272)
Be (0.729, 0.000, 0.463)
Cu (0.286, 0.500, 0.574)

Values from the calculation:
E above lowest polymorph, meV per atom: 203
Raw total energy, eV per cell: -17.68
Spin magnetization, μB/f.u.: 0.00

***

> Among the records above, which one has the lowest raw total energy?

CoP2W

***

> Which value of spin magnetization does entry 7 give?

0.00 μB/f.u.

***

> raw total energy of number 1 (Be2AlW)?

-24.23 eV per cell

***

> Which of these has the highest raw total energy?

MgPBr2